1.
The following is a PBE calculation of CaCrOs2 after structural relaxation, from Alexandria via LeMat-Bulk.

Results
- Uncorrected energy: -31.26 eV/cell
- ΔH_f (0 K): 68.18 kJ/mol of atoms
- Calculated volume: 15.71 Å³ per atom

a = 4.4628 Å, b = 4.4628 Å, c = 4.4628 Å
α = 60.00°, β = 60.00°, γ = 60.00°
Fractional coordinates of all 4 atoms:
Os1 0.0000 0.0000 0.0000
Cr1 0.2500 0.2500 0.2500
Os2 0.7500 0.7500 0.7500
Ca1 0.5000 0.5000 0.5000

---

2.
The following is a PBE calculation of CaCr2Os after structural relaxation, from Alexandria via LeMat-Bulk.

Results
- Uncorrected energy: -56.73 eV/cell
- ΔH_f (0 K): 99.26 kJ/mol of atoms
- Calculated volume: 21.06 Å³ per atom

a = 4.4916 Å, b = 4.4916 Å, c = 8.9365 Å
α = 75.45°, β = 75.45°, γ = 90.00°
Fractional coordinates of all 8 atoms:
Os1 0.0000 0.0000 0.0000
Ca1 0.5000 0.5000 0.0000
Cr1 0.8747 0.1250 0.2500
Os2 0.7500 0.2500 0.5000
Ca2 0.2500 0.7500 0.5000
Cr2 0.8750 0.1247 0.7500
Cr3 0.3750 0.1253 0.7500
Cr4 0.8753 0.6250 0.2500

---

3.
The following is a PBE calculation of CaCr2Os after structural relaxation, from Alexandria via LeMat-Bulk.

Results
- Uncorrected energy: -29.49 eV/cell
- ΔH_f (0 K): 72.03 kJ/mol of atoms
- Calculated volume: 15.82 Å³ per atom

a = 5.2923 Å, b = 5.2923 Å, c = 5.2923 Å
α = 147.01°, β = 127.55°, γ = 63.37°
Fractional coordinates of all 4 atoms:
Cr1 0.9735 0.9735 0.0000
Cr2 0.5265 0.5265 0.0000
Ca1 0.2500 0.7500 0.5000
Os1 0.7500 0.2500 0.5000

---

4.
The following is a PBE calculation of CaCr2Os after structural relaxation, from Alexandria via LeMat-Bulk.

Results
- Uncorrected energy: -29.60 eV/cell
- ΔH_f (0 K): 69.51 kJ/mol of atoms
- Calculated volume: 14.87 Å³ per atom

a = 4.3816 Å, b = 4.3816 Å, c = 4.3816 Å
α = 60.00°, β = 60.00°, γ = 60.00°
Fractional coordinates of all 4 atoms:
Cr1 0.7500 0.7500 0.7500
Os1 0.5000 0.5000 0.5000
Cr2 0.2500 0.2500 0.2500
Ca1 0.0000 0.0000 0.0000

---

| no. | size of the total moment (μB/atom) | offset from the most stable computed form (meV/atom) | theoretical density (g/cm³) |
| --- | --- | --- | --- |
| 1 | 0.304 | 333 | 12.5 |
| 2 | 0.000 | 604 | 6.6 |
| 3 | 0.001 | 322 | 8.8 |
| 4 | 0.000 | 296 | 9.3 |